# Na3Ni2IrO6 GGA+U relaxed
# crystal system: monoclinic
# space group: C2/m
# energy: -62.29 eV for the cell shown
# calculated volume: 132 Å³/cell
data_Na3Ni2IrO6
_cell_length_a 5.359
_cell_length_b 5.359
_cell_length_c 5.609
_cell_angle_alpha 99.19
_cell_angle_beta 99.19
_cell_angle_gamma 120.08
_space_group_name_H-M_alt 'P 1'
_space_group_IT_number 1
loop_
_space_group_symop_operation_xyz
'x,y,z'
loop_
_atom_site_label
_atom_site_type_symbol
_atom_site_fract_x
_atom_site_fract_y
_atom_site_fract_z
_atom_site_occupancy
Na1 Na 0.000 0.000 0.000 1
Na2 Na 0.329 0.671 0.000 1
Na3 Na 0.671 0.329 0.000 1
Ni1 Ni 0.167 0.833 0.500 1
Ni2 Ni 0.833 0.167 0.500 1
Ir1 Ir 0.500 0.500 0.500 1
O1 O 0.115 0.432 0.296 1
O2 O 0.252 0.252 0.703 1
O3 O 0.432 0.115 0.296 1
O4 O 0.568 0.885 0.704 1
O5 O 0.748 0.748 0.297 1
O6 O 0.885 0.568 0.704 1


# NaNiIrO4 GGA+U relaxed
# crystal system: orthorhombic
# space group: Imma
# energy: -79.65 eV for the cell shown
# calculated volume: 173 Å³/cell
data_NaNiIrO4
_cell_length_a 6.247
_cell_length_b 6.247
_cell_length_c 6.247
_cell_angle_alpha 120.39
_cell_angle_beta 118.94
_cell_angle_gamma 90.59
_space_group_name_H-M_alt 'P 1'
_space_group_IT_number 1
loop_
_space_group_symop_operation_xyz
'x,y,z'
loop_
_atom_site_label
_atom_site_type_symbol
_atom_site_fract_x
_atom_site_fract_y
_atom_site_fract_z
_atom_site_occupancy
Na1 Na 0.388 0.138 0.250 1
Na2 Na 0.612 0.862 0.750 1
Ni1 Ni 0.000 0.000 0.500 1
Ni2 Ni 0.000 0.500 0.000 1
Ir1 Ir 0.000 0.500 0.500 1
Ir2 Ir 0.500 0.500 0.000 1
O1 O 0.180 0.720 0.460 1
O2 O 0.240 0.280 0.960 1
O3 O 0.246 0.292 0.545 1
O4 O 0.246 0.701 0.955 1
O5 O 0.754 0.299 0.045 1
O6 O 0.754 0.708 0.455 1
O7 O 0.760 0.720 0.040 1
O8 O 0.820 0.280 0.540 1


# Na2NiIrO6 GGA+U relaxed
# crystal system: trigonal
# space group: P-3m1
# energy: -51.61 eV for the cell shown
# calculated volume: 134 Å³/cell
data_Na2NiIrO6
_cell_length_a 5.544
_cell_length_b 5.544
_cell_length_c 5.040
_cell_angle_alpha 90.00
_cell_angle_beta 90.00
_cell_angle_gamma 120.00
_space_group_name_H-M_alt 'P 1'
_space_group_IT_number 1
loop_
_space_group_symop_operation_xyz
'x,y,z'
loop_
_atom_site_label
_atom_site_type_symbol
_atom_site_fract_x
_atom_site_fract_y
_atom_site_fract_z
_atom_site_occupancy
Na1 Na 0.333 0.667 0.113 1
Na2 Na 0.667 0.333 0.887 1
Ni1 Ni 0.000 0.000 0.000 1
Ir1 Ir 0.000 0.000 0.500 1
O1 O 0.151 0.303 0.760 1
O2 O 0.151 0.849 0.760 1
O3 O 0.303 0.151 0.240 1
O4 O 0.697 0.849 0.760 1
O5 O 0.849 0.151 0.240 1
O6 O 0.849 0.697 0.240 1


# NaNi2IrO6 GGA+U relaxed
# crystal system: trigonal
# space group: R3
# energy: -53.84 eV for the cell shown
# calculated volume: 113 Å³/cell
data_NaNi2IrO6
_cell_length_a 5.623
_cell_length_b 5.623
_cell_length_c 5.623
_cell_angle_alpha 55.53
_cell_angle_beta 55.53
_cell_angle_gamma 55.53
_space_group_name_H-M_alt 'P 1'
_space_group_IT_number 1
loop_
_space_group_symop_operation_xyz
'x,y,z'
loop_
_atom_site_label
_atom_site_type_symbol
_atom_site_fract_x
_atom_site_fract_y
_atom_site_fract_z
_atom_site_occupancy
Na1 Na 0.000 0.000 0.000 1
Ni1 Ni 0.206 0.206 0.206 1
Ni2 Ni 0.717 0.717 0.717 1
Ir1 Ir 0.519 0.519 0.519 1
O1 O 0.135 0.446 0.773 1
O2 O 0.347 0.909 0.564 1
O3 O 0.446 0.773 0.135 1
O4 O 0.564 0.347 0.909 1
O5 O 0.773 0.135 0.446 1
O6 O 0.909 0.564 0.347 1


Look up the energy of the first one.
-62.29 eV for the cell shown